No. 1
Entry from Alexandria via LeMat-Bulk: crystalline PuTlIr4 at its relaxed geometry (GGA-PBE).

Cell: 5.3459 5.3459 5.3459 Å, 60.00 60.00 60.00°
Positions (direct):
Pu1 0.0000 0.0000 0.0000
Tl1 0.2500 0.2500 0.2500
Ir1 0.1263 0.6246 0.6246
Ir2 0.6246 0.1263 0.6246
Ir3 0.6246 0.6246 0.1263
Ir4 0.6246 0.6246 0.6246

- Density: 18.71 Mg/m³
- Total DFT energy (no corrections): -8.850 eV/atom
- Energy of formation: -159.6 meV per atom
- Fermi-level density of states: 10.23 states/eV/cell


No. 2
Entry from Alexandria via LeMat-Bulk: crystalline Hf2CrTc at its relaxed geometry (GGA-PBE).

Cell: 5.8516 5.8516 5.8516 Å, 104.27 104.27 120.48°
Positions (direct):
Hf1 0.1168 0.1250 0.4918
Hf2 0.3750 0.8832 0.0082
Hf3 0.6332 0.6250 0.5082
Hf4 0.8750 0.3668 0.9918
Cr1 0.2500 0.7500 0.5000
Cr2 0.5000 0.5000 0.0000
Tc1 0.0000 0.0000 0.0000
Tc2 0.7500 0.2500 0.5000

- Density: 11.23 Mg/m³
- Total DFT energy (no corrections): -9.452 eV/atom
- Energy of formation: 522.4 meV per atom
- Fermi-level density of states: 4.92 states/eV/cell


No. 3
Entry from Alexandria via LeMat-Bulk: crystalline TbGa2PdPt2 at its relaxed geometry (GGA-PBE).

Cell: 4.3738 4.3738 6.4649 Å, 90.00 90.00 120.00°
Positions (direct):
Tb1 0.0000 0.0000 0.0000
Ga1 0.3333 0.6667 0.3125
Ga2 0.6667 0.3333 0.6875
Pd1 0.0000 0.0000 0.5000
Pt1 0.3333 0.6667 0.7258
Pt2 0.6667 0.3333 0.2742

- Density: 12.33 Mg/m³
- Total DFT energy (no corrections): -5.601 eV/atom
- Energy of formation: -941.4 meV per atom
- Fermi-level density of states: 2.80 states/eV/cell


No. 4
Entry from Alexandria via LeMat-Bulk: crystalline Tm5CdCo2 at its relaxed geometry (GGA-PBE).

Cell: 8.4634 8.4634 8.4634 Å, 127.28 127.28 77.80°
Positions (direct):
Tm1 0.0000 0.0000 0.0000
Tm2 0.0274 0.5274 0.8184
Tm3 0.2090 0.0274 0.5000
Tm4 0.2910 0.7910 0.8184
Tm5 0.4726 0.2910 0.5000
Tm6 0.5000 0.5000 0.0000
Tm7 0.5274 0.7090 0.5000
Tm8 0.7090 0.2090 0.1816
Tm9 0.7910 0.9726 0.5000
Tm10 0.9726 0.4726 0.1816
Cd1 0.2500 0.2500 0.0000
Cd2 0.7500 0.7500 0.0000
Co1 0.1378 0.3622 0.5000
Co2 0.3622 0.8622 0.2244
Co3 0.6378 0.1378 0.7756
Co4 0.8622 0.6378 0.5000

- Density: 9.59 Mg/m³
- Total DFT energy (no corrections): -4.937 eV/atom
- Energy of formation: -251.6 meV per atom
- Fermi-level density of states: 11.82 states/eV/cell